[1]
# KNaCdAg, relaxed, DFT PBE-GGA
# ΔE to the lowest computed polymorph: 0.0 meV per atom
# magnetic moment: 0.0 μB/cell
# crystal system: monoclinic
# density of states at the Fermi level: 1.73 states/eV/f.u.
# ΔH_f (0 K): -0.032 eV per atom
data_KNaCdAg
_cell_length_a 8.4750
_cell_length_b 4.9904
_cell_length_c 7.0427
_cell_angle_alpha 90.00
_cell_angle_beta 114.49
_cell_angle_gamma 90.00
_space_group_name_H-M_alt 'C 1 m 1'
_space_group_IT_number 8
loop_
_space_group_symop_operation_xyz
'x,y,z'
'x,-y,z'
'x+1/2,y+1/2,z'
'x+1/2,-y+1/2,z'
loop_
_atom_site_label
_atom_site_type_symbol
_atom_site_fract_x
_atom_site_fract_y
_atom_site_fract_z
K1 K 0.0000 0.0000 0.0000
Na1 Na 0.2005 0.0000 0.5888
Cd1 Cd 0.2898 0.5000 0.3619
Ag1 Ag 0.4588 0.0000 0.3747

=====

[2]
# Ba3HfGa2O8, relaxed, DFT PBE-GGA
# magnetic moment: 0.0 μB/cell
# crystal system: trigonal
# density of states at the Fermi level: 0.00 states/eV/f.u.
# raw formation energy: -2638 meV/atom
data_Ba3HfGa2O8
_cell_length_a 5.8759
_cell_length_b 5.8759
_cell_length_c 7.5468
_cell_angle_alpha 90.00
_cell_angle_beta 90.00
_cell_angle_gamma 120.00
_space_group_name_H-M_alt 'P -3 m 1'
_space_group_IT_number 164
_space_group_name_Hall '-P 3 2"'
loop_
_atom_site_label
_atom_site_type_symbol
_atom_site_fract_x
_atom_site_fract_y
_atom_site_fract_z
Ba1 Ba 0.0000 0.0000 0.0000
Ba2 Ba 0.3333 0.6667 0.6657
Hf1 Hf 0.0000 0.0000 0.5000
Ga1 Ga 0.3333 0.6667 0.2256
O1 O 0.1649 0.3298 0.3348
O2 O 0.3333 0.6667 0.9895

=====

[3]
# ZrAuO2F, relaxed, DFT PBE-GGA
# magnetic moment: 1.4 μB/cell
# crystal system: tetragonal
# density of states at the Fermi level: 3.15 states/eV/f.u.
# raw formation energy: -330 meV/atom
data_ZrAuO2F
_cell_length_a 4.1035
_cell_length_b 4.1035
_cell_length_c 4.4482
_cell_angle_alpha 90.00
_cell_angle_beta 90.00
_cell_angle_gamma 90.00
_space_group_name_H-M_alt 'P 4/m m m'
_space_group_IT_number 123
_space_group_name_Hall '-P 4 2'
loop_
_atom_site_label
_atom_site_type_symbol
_atom_site_fract_x
_atom_site_fract_y
_atom_site_fract_z
Zr1 Zr 0.0000 0.0000 0.0000
Au1 Au 0.5000 0.5000 0.5000
O1 O 0.0000 0.5000 0.5000
F1 F 0.5000 0.5000 0.0000

=====

[4]
# YTm2ScTe6, relaxed, DFT PBE-GGA
# magnetic moment: 0.0 μB/cell
# crystal system: trigonal
# raw formation energy: -1304 meV/atom
data_YTm2ScTe6
_cell_length_a 7.5466
_cell_length_b 7.5466
_cell_length_c 20.7161
_cell_angle_alpha 90.00
_cell_angle_beta 90.00
_cell_angle_gamma 120.00
_space_group_name_H-M_alt 'R 3'
_space_group_IT_number 146
_space_group_name_Hall 'R 3'
loop_
_atom_site_label
_atom_site_type_symbol
_atom_site_fract_x
_atom_site_fract_y
_atom_site_fract_z
Y1 Y 0.0000 0.0000 0.0000
Tm1 Tm 0.0000 0.0000 0.3150
Tm2 Tm 0.0000 0.0000 0.8167
Sc1 Sc 0.0000 0.0000 0.4982
Te1 Te 0.9997 0.6899 0.4103
Te2 Te 0.0163 0.3385 0.5736

=====

[5]
# Ba2Cd3SnPd4, relaxed, DFT PBE-GGA
# magnetic moment: 0.0 μB/cell
# crystal system: tetragonal
# density of states at the Fermi level: 4.81 states/eV/f.u.
# ΔH_f (0 K): -0.505 eV per atom
data_Ba2Cd3SnPd4
_cell_length_a 4.9321
_cell_length_b 4.9321
_cell_length_c 10.4184
_cell_angle_alpha 90.00
_cell_angle_beta 90.00
_cell_angle_gamma 90.00
_space_group_name_H-M_alt 'P -4 m 2'
_space_group_IT_number 115
loop_
_space_group_symop_operation_xyz
'x,y,z'
'y,-x,-z'
'-x,-y,z'
'-y,x,-z'
'-x,y,z'
'-y,-x,-z'
'x,-y,z'
'y,x,-z'
loop_
_atom_site_label
_atom_site_type_symbol
_atom_site_fract_x
_atom_site_fract_y
_atom_site_fract_z
Ba1 Ba 0.0000 0.5000 0.2337
Cd1 Cd 0.0000 0.5000 0.8780
Cd2 Cd 0.5000 0.5000 0.5000
Sn1 Sn 0.0000 0.0000 0.5000
Pd1 Pd 0.0000 0.0000 0.0000
Pd2 Pd 0.0000 0.5000 0.6121
Pd3 Pd 0.5000 0.5000 0.0000

=====

[6]
# SrCaTbBiO6, relaxed, DFT PBE-GGA
# ΔE to the lowest computed polymorph: 0.0 meV per atom
# magnetic moment: 0.0 μB/cell
# crystal system: triclinic
# density of states at the Fermi level: 0.00 states/eV/f.u.
# raw formation energy: -2429 meV/atom
data_SrCaTbBiO6
_cell_length_a 5.8613
_cell_length_b 6.0475
_cell_length_c 8.4253
_cell_angle_alpha 90.01
_cell_angle_beta 90.12
_cell_angle_gamma 90.14
_space_group_name_H-M_alt 'P -1'
_space_group_IT_number 2
loop_
_space_group_symop_operation_xyz
'x,y,z'
'-x,-y,-z'
loop_
_atom_site_label
_atom_site_type_symbol
_atom_site_fract_x
_atom_site_fract_y
_atom_site_fract_z
Sr1 Sr 0.0115 0.4491 0.2512
Ca1 Ca 0.4856 0.9520 0.2491
Tb1 Tb 0.0000 0.0000 0.5000
Tb2 Tb 0.5000 0.5000 0.0000
Bi1 Bi 0.0000 0.0000 0.0000
Bi2 Bi 0.5000 0.5000 0.5000
O1 O 0.1204 0.9664 0.7588
O2 O 0.1909 0.7094 0.0552
O3 O 0.2038 0.6935 0.4528
O4 O 0.2950 0.1919 0.0634
O5 O 0.3145 0.2043 0.4344
O6 O 0.4019 0.4384 0.7418

=====

[7]
# Zn2AgIr, relaxed, DFT PBE-GGA
# magnetic moment: 0.0 μB/cell
# crystal system: tetragonal
# density of states at the Fermi level: 2.21 states/eV/f.u.
# ΔH_f (0 K): 0.285 eV per atom
data_Zn2AgIr
_cell_length_a 3.9367
_cell_length_b 3.9367
_cell_length_c 17.5910
_cell_angle_alpha 90.00
_cell_angle_beta 90.00
_cell_angle_gamma 90.00
_space_group_name_H-M_alt 'I -4 2 d'
_space_group_IT_number 122
_space_group_name_Hall 'I -4 2bw'
loop_
_atom_site_label
_atom_site_type_symbol
_atom_site_fract_x
_atom_site_fract_y
_atom_site_fract_z
Zn1 Zn 0.2192 0.2500 0.1250
Ag1 Ag 0.0000 0.0000 0.5000
Ir1 Ir 0.0000 0.0000 0.0000

=====

[8]
# Rb4CePr3Te8, relaxed, DFT PBE-GGA
# magnetic moment: 3.1 μB/cell
# crystal system: trigonal
# density of states at the Fermi level: 8.39 states/eV/f.u.
# raw formation energy: -1391 meV/atom
data_Rb4CePr3Te8
_cell_length_a 9.3740
_cell_length_b 9.3740
_cell_length_c 25.7069
_cell_angle_alpha 90.00
_cell_angle_beta 90.00
_cell_angle_gamma 120.00
_space_group_name_H-M_alt 'R -3 m'
_space_group_IT_number 166
_space_group_name_Hall '-R 3 2"'
loop_
_atom_site_label
_atom_site_type_symbol
_atom_site_fract_x
_atom_site_fract_y
_atom_site_fract_z
Rb1 Rb 0.0000 0.0000 0.0000
Rb2 Rb 0.0000 0.5000 0.0000
Ce1 Ce 0.0000 0.0000 0.5000
Pr1 Pr 0.0000 0.5000 0.5000
Te1 Te 0.0000 0.0000 0.2355
Te2 Te 0.0004 0.5002 0.2352

=====

[9]
# Ac2Tb5Pr2, relaxed, DFT PBE-GGA
# magnetic moment: 0.0 μB/cell
# crystal system: monoclinic
# density of states at the Fermi level: 12.63 states/eV/f.u.
# ΔH_f (0 K): 0.214 eV per atom
data_Ac2Tb5Pr2
_cell_length_a 22.2928
_cell_length_b 3.6438
_cell_length_c 8.3872
_cell_angle_alpha 90.00
_cell_angle_beta 98.30
_cell_angle_gamma 90.00
_space_group_name_H-M_alt 'C 1 2/m 1'
_space_group_IT_number 12
loop_
_space_group_symop_operation_xyz
'x,y,z'
'-x,-y,-z'
'-x,y,-z'
'x,-y,z'
'x+1/2,y+1/2,z'
'-x+1/2,-y+1/2,-z'
'-x+1/2,y+1/2,-z'
'x+1/2,-y+1/2,z'
loop_
_atom_site_label
_atom_site_type_symbol
_atom_site_fract_x
_atom_site_fract_y
_atom_site_fract_z
Ac1 Ac 0.1833 0.0000 0.1354
Tb1 Tb 0.0000 0.0000 0.0000
Tb2 Tb 0.0941 0.0000 0.7250
Tb3 Tb 0.1902 0.5000 0.5291
Pr1 Pr 0.0484 0.5000 0.3502

=====

[10]
# La8Os3Au2, relaxed, DFT PBE-GGA
# magnetic moment: 0.0 μB/cell
# crystal system: monoclinic
# density of states at the Fermi level: 9.97 states/eV/f.u.
# ΔH_f (0 K): -0.281 eV per atom
data_La8Os3Au2
_cell_length_a 9.0299
_cell_length_b 5.0771
_cell_length_c 9.0358
_cell_angle_alpha 90.00
_cell_angle_beta 111.70
_cell_angle_gamma 90.00
_space_group_name_H-M_alt 'P 1 2/m 1'
_space_group_IT_number 10
loop_
_space_group_symop_operation_xyz
'x,y,z'
'-x,-y,-z'
'-x,y,-z'
'x,-y,z'
loop_
_atom_site_label
_atom_site_type_symbol
_atom_site_fract_x
_atom_site_fract_y
_atom_site_fract_z
La1 La 0.1105 0.0000 0.3886
La2 La 0.1415 0.5000 0.8685
La3 La 0.3676 0.5000 0.6411
La4 La 0.3840 0.0000 0.1162
Os1 Os 0.2468 0.0000 0.7467
Os2 Os 0.5000 0.5000 0.0000
Au1 Au 0.2425 0.5000 0.2581

=====

[11]
# NaTl3Fe, relaxed, DFT PBE-GGA
# ΔE to the lowest computed polymorph: 794.1 meV per atom
# magnetic moment: 3.4 μB/cell
# crystal system: cubic
# density of states at the Fermi level: 11.77 states/eV/f.u.
# ΔH_f (0 K): 1.011 eV per atom
data_NaTl3Fe
_cell_length_a 5.5100
_cell_length_b 5.5100
_cell_length_c 5.5100
_cell_angle_alpha 90.00
_cell_angle_beta 90.00
_cell_angle_gamma 90.00
_space_group_name_H-M_alt 'P m -3 m'
_space_group_IT_number 221
_space_group_name_Hall '-P 4 2 3'
loop_
_atom_site_label
_atom_site_type_symbol
_atom_site_fract_x
_atom_site_fract_y
_atom_site_fract_z
Na1 Na 0.0000 0.0000 0.0000
Tl1 Tl 0.0000 0.0000 0.5000
Fe1 Fe 0.5000 0.5000 0.5000

=====

[12]
# Nd2Tm2Mg, relaxed, DFT PBE-GGA
# ΔE to the lowest computed polymorph: 0.0 meV per atom
# magnetic moment: 0.0 μB/cell
# crystal system: orthorhombic
# density of states at the Fermi level: 8.17 states/eV/f.u.
# ΔH_f (0 K): -0.002 eV per atom
data_Nd2Tm2Mg
_cell_length_a 18.1645
_cell_length_b 6.1316
_cell_length_c 5.5837
_cell_angle_alpha 90.00
_cell_angle_beta 90.00
_cell_angle_gamma 90.00
_space_group_name_H-M_alt 'C m c m'
_space_group_IT_number 63
_space_group_name_Hall '-C 2c 2'
loop_
_atom_site_label
_atom_site_type_symbol
_atom_site_fract_x
_atom_site_fract_y
_atom_site_fract_z
Nd1 Nd 0.0967 0.1872 0.2500
Tm1 Tm 0.2058 0.3349 0.7500
Mg1 Mg 0.0000 0.3287 0.7500